A plane-wave DFT calculation with PBE with a Hubbard U was carried out for crystalline Li4MnCo3O8 at its relaxed geometry.

```
data_Li4MnCo3O8
_chemical_formula_sum 'Li8 Mn2 Co6 O16'
_symmetry_space_group_name_H-M 'P 1'
_symmetry_Int_Tables_number 1
_cell_length_a 2.853
_cell_length_b 5.786
_cell_length_c 16.282
_cell_angle_alpha 90.98
_cell_angle_beta 90.19
_cell_angle_gamma 90.16
loop_
_symmetry_equiv_pos_as_xyz
'x,y,z'
loop_
_atom_site_label
_atom_site_fract_x
_atom_site_fract_y
_atom_site_fract_z
Li1 0.000 0.000 0.000
Li2 0.000 0.000 0.500
Li3 0.006 0.501 0.250
Li4 0.492 0.248 0.627
Li5 0.497 0.750 0.873
Li6 0.503 0.250 0.127
Li7 0.508 0.752 0.373
Li8 0.994 0.499 0.750
Mn1 0.000 0.500 0.000
Mn2 0.000 0.500 0.500
Co1 0.006 0.001 0.250
Co2 0.491 0.751 0.626
Co3 0.497 0.247 0.874
Co4 0.503 0.753 0.126
Co5 0.509 0.249 0.374
Co6 0.994 0.999 0.750
O1 0.002 0.524 0.122
O2 0.004 0.980 0.131
O3 0.008 0.022 0.369
O4 0.012 0.478 0.378
O5 0.493 0.736 0.506
O6 0.493 0.772 0.745
O7 0.495 0.226 0.755
O8 0.499 0.264 0.994
O9 0.501 0.736 0.006
O10 0.505 0.774 0.245
O11 0.507 0.228 0.255
O12 0.507 0.264 0.494
O13 0.988 0.522 0.622
O14 0.992 0.978 0.631
O15 0.996 0.020 0.869
O16 0.998 0.476 0.878
```

Calculated values
Energy, eV per atom: -5.834